DFT (GGA-PBEsol) results for a relaxed structure of Hf2SbTe.

## Properties
ρ, g/cm3: 11.8
SG: Fm-3m (225)
Uncorrected energy, eV/atom: -7.7830
Energy relative to the elements, uncorrected, eV/atom: -0.511

```
data_Hf2SbTe
_chemical_formula_sum 'Hf2 Sb1 Te1'
_symmetry_space_group_name_H-M 'P 1'
_symmetry_Int_Tables_number 1
_cell_length_a 4.9380
_cell_length_b 4.9380
_cell_length_c 4.9380
_cell_angle_alpha 60.00
_cell_angle_beta 60.00
_cell_angle_gamma 60.00
loop_
_symmetry_equiv_pos_as_xyz
'x,y,z'
loop_
_atom_site_label
_atom_site_fract_x
_atom_site_fract_y
_atom_site_fract_z
_atom_site_occupancy
Hf1 0.2500 0.2500 0.2500 1
Hf2 0.7500 0.7500 0.7500 1
Sb1 0.0000 0.0000 0.0000 1
Te1 0.5000 0.5000 0.5000 1
```